# LaCrO3

LaCrO3 after structural relaxation (PBE with a Hubbard U, Alexandria via LeMat-Bulk).

Its energy is -8.158 eV/atom. The space group is Pm-3m (221). As for the crystal system: cubic.

```
LaCrO3
1.0
3.9262 0.0000 0.0000
0.0000 3.9262 0.0000
0.0000 0.0000 3.9262
La Cr O
1 1 3
Direct
0.0000 0.0000 0.0000 La
0.5000 0.5000 0.5000 Cr
0.0000 0.5000 0.5000 O
0.5000 0.0000 0.5000 O
0.5000 0.5000 0.0000 O
```